Density functional theory data (GGA-PBE) for a geometry-optimized KNaNdCl5 structure.

Unit cell a=7.8647 b=7.8647 c=10.2210 alpha=101.17 beta=101.17 gamma=112.20
With the nearest neighbours (Å) after each atom.
Fractional coordinates of all 16 atoms:
K1 0.3576 0.6424 0.2500  4 Cl 3.15-3.34
K2 0.6424 0.3576 0.7500  4 Cl 3.15-3.34
Na1 0.6856 0.3144 0.2500  4 Cl 2.66-2.68
Na2 0.3144 0.6856 0.7500  4 Cl 2.66-2.68
Nd1 0.0000 0.0000 0.5000  6 Cl 2.73-2.80
Nd2 0.0000 0.0000 0.0000  6 Cl 2.73-2.80
Cl1 0.0874 0.9126 0.2500  2 Nd 2.80
Cl2 0.9126 0.0874 0.7500  2 Nd 2.80
Cl3 0.9397 0.3094 0.1133  1 Na 2.66, 1 Nd 2.73
Cl4 0.0603 0.6906 0.8867  1 Na 2.66, 1 Nd 2.73
Cl5 0.6906 0.0603 0.3867  1 Na 2.66, 1 Nd 2.73
Cl6 0.3094 0.9397 0.6133  1 Na 2.66, 1 Nd 2.73
Cl7 0.7411 0.6264 0.4465  1 Na 2.68, 1 Nd 2.74
Cl8 0.2589 0.3736 0.5535  1 Na 2.68, 1 Nd 2.74
Cl9 0.3736 0.2589 0.0535  1 Na 2.68, 1 Nd 2.74
Cl10 0.6264 0.7411 0.9465  1 Na 2.68, 1 Nd 2.74

Computed properties:
formation energy from raw total energies = -2.068 eV per atom
calculated total energy = -4.12 eV per atom
SG = C2/c, No. 15